A plane-wave DFT calculation with PBE-GGA was carried out for an optimized crystal structure of Cs2RbGaCl6.

Summary:
Formation energy from raw total energies   -1643.7 meV per atom
M_tot   0.00 μB per cell
Uncorrected energy   -33.218 eV for the cell shown

abc: 7.8329 7.8329 7.8329
angles: 60.00 60.00 60.00
Last column: nearest neighbours and their distance in Å.
Element x y z (fractional)
1 Cs 0.2500 0.2500 0.2500  12 Cl 3.93
2 Cs 0.7500 0.7500 0.7500  12 Cl 3.93
3 Rb 0.0000 0.0000 0.0000  6 Cl 3.14
4 Ga 0.5000 0.5000 0.5000  6 Cl 2.40
5 Cl 0.2831 0.2831 0.7169  1 Ga 2.40
6 Cl 0.2831 0.7169 0.2831  1 Ga 2.40
7 Cl 0.2831 0.7169 0.7169  1 Ga 2.40
8 Cl 0.7169 0.2831 0.2831  1 Ga 2.40
9 Cl 0.7169 0.2831 0.7169  1 Ga 2.40
10 Cl 0.7169 0.7169 0.2831  1 Ga 2.40